[1]
This record from the Alexandria database describes crystalline B5C7 at its relaxed geometry. The functional is PBE.

The structure in extended XYZ format:
```
12
Lattice="4.190 0.000 0.000 -2.057 3.696 0.000 -0.016 -1.901 4.939" Properties=species:S:1:pos:R:3 pbc="T T T"
B 0.000 0.000 0.000
B 0.058 -0.900 2.472
B -0.644 0.864 4.573
B 1.412 1.027 0.392
B 1.480 0.249 2.888
C -0.676 1.797 2.072
C 0.184 1.222 3.238
C 0.226 2.132 0.855
C 2.341 -0.237 4.158
C 2.436 0.706 1.674
C 3.287 -0.458 1.243
C 3.283 -1.362 3.686
```

Computed properties:
The density of states at the Fermi level comes out at 1.84 states/eV/cell. Its calculated formation energy is 0.381 eV/atom.

[2]
This record from the Alexandria database describes crystalline YTlIr2 at its relaxed geometry. The functional is PBE.

The structure in extended XYZ format:
```
4
Lattice="3.488 0.000 0.000 0.000 3.488 0.000 0.000 0.000 6.341" Properties=species:S:1:pos:R:3 pbc="T T T"
Y 0.000 0.000 0.000
Tl 0.000 0.000 3.171
Ir 1.744 1.744 1.643
Ir 1.744 1.744 4.699
```

Computed properties:
The density of states at the Fermi level comes out at 2.58 states/eV/cell. Its calculated formation energy is -0.145 eV/atom.

[3]
This record from the Alexandria database describes crystalline MgIn2Ga at its relaxed geometry. The functional is PBE.

The structure in extended XYZ format:
```
8
Lattice="-2.173 2.173 10.468 2.173 -2.173 10.468 2.173 2.173 -10.468" Properties=species:S:1:pos:R:3 pbc="T T T"
Mg 0.000 0.000 0.000
Mg 0.000 2.173 5.234
In 1.087 -1.075 7.851
In 1.098 1.087 2.617
In 1.087 3.248 -2.617
In 1.075 1.087 13.085
Ga 2.173 0.000 5.234
Ga 0.000 0.000 10.468
```

Computed properties:
The density of states at the Fermi level comes out at 4.34 states/eV/cell. Its calculated formation energy is 0.054 eV/atom.

[4]
This record from the Alexandria database describes crystalline Ba2UF8 at its relaxed geometry. The functional is PBE.

The structure in extended XYZ format:
```
11
Lattice="7.900 -2.136 0.000 7.900 2.136 0.000 -1.855 0.000 5.411" Properties=species:S:1:pos:R:3 pbc="T T T"
Ba 2.406 0.000 0.956
Ba 11.540 0.000 4.455
U 6.973 0.000 2.705
F -0.323 0.000 1.642
F 2.100 0.000 4.172
F 4.798 0.000 3.096
F 6.282 0.000 0.626
F 7.663 0.000 4.785
F 9.147 0.000 2.315
F 11.845 0.000 1.239
F 14.269 0.000 3.769
```

Computed properties:
The density of states at the Fermi level comes out at 2.11 states/eV/cell. The formation energy from raw total energies is -364.0 kJ per mole of atoms.

[5]
This record from the Alexandria database describes crystalline MnAlPb3 at its relaxed geometry. The functional is PBE.

The structure in extended XYZ format:
```
5
Lattice="5.418 0.000 0.000 0.000 5.418 0.000 0.000 0.000 5.418" Properties=species:S:1:pos:R:3 pbc="T T T"
Mn 0.000 0.000 0.000
Al 2.709 2.709 2.709
Pb 0.000 2.709 2.709
Pb 2.709 0.000 2.709
Pb 2.709 2.709 0.000
```

Computed properties:
The density of states at the Fermi level comes out at 3.27 states/eV/cell. Its calculated formation energy is 0.785 eV/atom.

[6]
This record from the Alexandria database describes crystalline Ba6CdAu3 at its relaxed geometry. The functional is PBE.

The structure in extended XYZ format:
```
20
Lattice="12.246 0.000 0.000 0.000 4.682 0.000 -5.491 0.000 15.431" Properties=species:S:1:pos:R:3 pbc="T T T"
Ba -0.431 1.171 1.787
Ba -1.443 3.512 6.365
Ba -1.471 1.171 12.465
Ba 0.856 1.171 9.190
Ba 2.399 1.171 5.067
Ba 4.059 3.512 1.112
Ba 2.696 1.171 14.319
Ba 4.356 3.512 10.365
Ba 5.900 3.512 6.242
Ba 8.226 3.512 2.966
Ba 8.198 1.171 9.067
Ba 7.186 3.512 13.644
Cd 1.153 3.512 11.982
Cd 5.602 1.171 3.449
Au -1.653 3.512 9.854
Au -3.348 1.171 15.183
Au 2.481 3.512 7.380
Au 4.275 1.171 8.052
Au 10.103 3.512 0.249
Au 8.409 1.171 5.578
```

Computed properties:
The density of states at the Fermi level comes out at 18.16 states/eV/cell. Its calculated formation energy is -0.476 eV/atom.

[7]
This record from the Alexandria database describes crystalline Ac2PmS3F3 at its relaxed geometry. The functional is PBE.

The structure in extended XYZ format:
```
9
Lattice="7.524 0.000 0.000 -3.762 6.516 0.000 0.000 0.000 4.049" Properties=species:S:1:pos:R:3 pbc="T T T"
Ac 0.000 4.344 0.000
Ac 3.762 2.172 0.000
Pm 0.000 0.000 2.025
S -0.969 1.678 0.000
S 1.938 0.000 0.000
S 2.793 4.838 0.000
F -2.167 3.754 2.025
F 1.595 2.762 2.025
F 4.335 0.000 2.025
```

Computed properties:
The density of states at the Fermi level comes out at 0.00 states/eV/cell. The formation energy from raw total energies is -257.1 kJ per mole of atoms.

[8]
This record from the Alexandria database describes crystalline TiCuSbTe2 at its relaxed geometry. The functional is PBE.

The structure in extended XYZ format:
```
5
Lattice="5.129 0.000 0.000 0.000 5.129 0.000 0.000 0.000 4.974" Properties=species:S:1:pos:R:3 pbc="T T T"
Ti 0.000 0.000 0.000
Cu 2.565 2.565 2.487
Sb 2.565 2.565 0.000
Te 0.000 2.565 2.487
Te 2.565 0.000 2.487
```

Computed properties:
The density of states at the Fermi level comes out at 8.03 states/eV/cell. The formation energy from raw total energies is 57.8 kJ per mole of atoms.

| no. | uncorrected energy (eV per atom) |
| --- | --- |
| 1 | -7.78 |
| 2 | -6.78 |
| 3 | -2.47 |
| 4 | -6.51 |
| 5 | -4.02 |
| 6 | -2.70 |
| 7 | -6.11 |
| 8 | -3.88 |